CuNiHg2F8: relaxed, GGA+U.

Lattice parameters (Å, degrees): 4.4574 5.2797 7.1028 84.97 88.86 85.60
With the nearest neighbours (Å) after each atom.
Space group P-1 (No. 2)
Inequivalent atoms, fractional coordinates:
1 Cu 0.0000 0.0000 0.0000 [1 per cell]  4 F 1.92
2 Ni 0.0000 0.0000 0.5000 [1 per cell]  6 F 1.98-2.15
3 Hg 0.4175 0.5165 0.7416 [2 per cell]  7 F 2.29-2.49
4 F 0.1041 0.2872 0.3010 [2 per cell]  1 Ni 2.05
5 F 0.1355 0.1432 0.7576 [2 per cell]  1 Cu 1.92, 1 Ni 2.15
6 F 0.3343 0.7468 0.0082 [2 per cell]  1 Cu 1.92
7 F 0.3706 0.7757 0.4659 [2 per cell]  1 Ni 1.98

- Total energy: -3.447 eV per atom

=====

Cu2NiHgF8: relaxed, GGA+U.

Lattice parameters (Å, degrees): 5.3451 5.3451 10.8261 90.00 90.00 90.00
With the nearest neighbours (Å) after each atom.
Space group I-4 (No. 82)
Inequivalent atoms, fractional coordinates:
1 Cu 0.0000 0.0000 0.0000 [2 per cell]  4 F 1.94
2 Cu 0.0000 0.5000 0.2500 [2 per cell]  4 F 1.89
3 Ni 0.0000 0.0000 0.5000 [2 per cell]  4 F 2.04
4 Hg 0.0000 0.5000 0.7500 [2 per cell]  4 F 2.26
5 F 0.1434 0.8027 0.3060 [8 per cell]  1 Cu 1.89
6 F 0.1972 0.2888 0.9538 [8 per cell]  1 Cu 1.94, 1 Ni 2.04

- Total energy: -3.704 eV per atom